[1]
# PBE LaUMn2S8, optimized geometry
# DOS at the Fermi energy in states/eV/f.u.: 6.20
# Formation energy without anion corrections in kJ/mol of atoms: -84
# Total magnetic moment in μB per cell: 14.0
data_LaUMn2S8
_chemical_formula_sum 'La2 U2 Mn4 S16'
_cell_length_a 6.2808
_cell_length_b 6.2808
_cell_length_c 13.4014
_cell_angle_alpha 90.00
_cell_angle_beta 90.00
_cell_angle_gamma 90.00
_space_group_name_H-M_alt 'I -4'
_space_group_IT_number 82
_space_group_name_Hall 'I -4'
loop_
_atom_site_label
_atom_site_type_symbol
_atom_site_fract_x
_atom_site_fract_y
_atom_site_fract_z
La1 La 0.0000 0.0000 0.0000
U1 U 0.0000 0.5000 0.2500
Mn1 Mn 0.0000 0.0000 0.5000
Mn2 Mn 0.0000 0.5000 0.7500
S1 S 0.1374 0.2663 0.4172
S2 S 0.1677 0.7839 0.8178


[2]
# PBE LiCa2Ir, optimized geometry
# DOS at the Fermi energy in states/eV/f.u.: 2.08
# Total magnetic moment in μB per cell: 0.0
# Energy above the lowest structure with this stoichiometry in eV per atom: 0.116
# Calculated formation energy in eV per atom: -0.111
data_LiCa2Ir
_chemical_formula_sum 'Li2 Ca4 Ir2'
_cell_length_a 11.0906
_cell_length_b 3.4684
_cell_length_c 5.0918
_cell_angle_alpha 90.00
_cell_angle_beta 108.32
_cell_angle_gamma 90.00
_space_group_name_H-M_alt 'C 1 m 1'
_space_group_IT_number 8
_space_group_name_Hall 'C -2y'
loop_
_atom_site_label
_atom_site_type_symbol
_atom_site_fract_x
_atom_site_fract_y
_atom_site_fract_z
Li1 Li 0.0000 0.0000 0.0000
Ca1 Ca 0.1011 0.5000 0.6175
Ca2 Ca 0.3032 0.5000 0.2683
Ir1 Ir 0.3275 0.0000 0.7688


[3]
# PBE Sc4Ta, optimized geometry
# DOS at the Fermi energy in states/eV/f.u.: 6.91
# Total magnetic moment in μB per cell: 1.2
# Energy above the lowest structure with this stoichiometry in eV per atom: 0.484
# Calculated formation energy in eV per atom: 0.613
data_Sc4Ta
_chemical_formula_sum 'Sc8 Ta2'
_cell_length_a 3.8918
_cell_length_b 3.8918
_cell_length_c 15.5013
_cell_angle_alpha 90.00
_cell_angle_beta 90.00
_cell_angle_gamma 90.00
_space_group_name_H-M_alt 'I 4/m m m'
_space_group_IT_number 139
_space_group_name_Hall '-I 4 2'
loop_
_atom_site_label
_atom_site_type_symbol
_atom_site_fract_x
_atom_site_fract_y
_atom_site_fract_z
Sc1 Sc 0.0000 0.0000 0.0885
Sc2 Sc 0.0000 0.5000 0.2500
Ta1 Ta 0.0000 0.0000 0.5000


[4]
# PBE K3CdSe2O8, optimized geometry
# DOS at the Fermi energy in states/eV/f.u.: 2.16
# Formation energy without anion corrections in kJ/mol of atoms: -114
# Total magnetic moment in μB per cell: 0.0
data_K3CdSe2O8
_chemical_formula_sum 'K3 Cd1 Se2 O8'
_cell_length_a 6.0489
_cell_length_b 6.0489
_cell_length_c 7.7152
_cell_angle_alpha 90.00
_cell_angle_beta 90.00
_cell_angle_gamma 120.00
_space_group_name_H-M_alt 'P -3 m 1'
_space_group_IT_number 164
_space_group_name_Hall '-P 3 2"'
loop_
_atom_site_label
_atom_site_type_symbol
_atom_site_fract_x
_atom_site_fract_y
_atom_site_fract_z
K1 K 0.0000 0.0000 0.0000
K2 K 0.3333 0.6667 0.6724
Cd1 Cd 0.0000 0.0000 0.5000
Se1 Se 0.3333 0.6667 0.2257
O1 O 0.1798 0.3595 0.3071
O2 O 0.3333 0.6667 0.0091